Record 1
{"formula": "TaAsPdO", "functional": "PBE", "state": "relaxed", "crystal_system": "orthorhombic", "rho_kg_m3": 10436, "e_above_lowest_polymorph_mev_per_atom": 0, "lattice": [[3.7715, 0.0000, 0.0000], [0.0000, 5.9526, 0.0000], [0.0000, 0.0000, 5.3622]], "species": ["Ta", "Ta", "As", "As", "Pd", "Pd", "O", "O"], "frac_coords": [[0.0000, 0.1706, 0.0000], [0.0000, 0.8294, 0.5000], [0.0000, 0.2960, 0.4856], [0.0000, 0.7040, 0.9856], [0.5000, 0.4774, 0.7270], [0.5000, 0.5226, 0.2270], [0.5000, 0.0866, 0.0024], [0.5000, 0.9134, 0.5024]]}

Record 2
{"formula": "TbAsPdO", "functional": "PBE", "state": "relaxed", "crystal_system": "tetragonal", "rho_kg_m3": 7673, "e_above_lowest_polymorph_mev_per_atom": 869, "lattice": [[5.7676, 0.0000, 0.0000], [0.0000, 5.7676, 0.0000], [0.0000, 0.0000, 4.6352]], "species": ["Tb", "Tb", "As", "As", "Pd", "Pd", "O", "O"], "frac_coords": [[0.2500, 0.7500, 0.0000], [0.7500, 0.2500, 0.0000], [0.2500, 0.2500, 0.0019], [0.7500, 0.7500, 0.9981], [0.2500, 0.2500, 0.5020], [0.7500, 0.7500, 0.4980], [0.2500, 0.7500, 0.5000], [0.7500, 0.2500, 0.5000]]}

Record 3
{"formula": "TbAsPdO", "functional": "PBE", "state": "relaxed", "crystal_system": "tetragonal", "rho_kg_m3": 8751, "e_above_lowest_polymorph_mev_per_atom": 0, "lattice": [[4.1155, 0.0000, 0.0000], [0.0000, 4.1155, 0.0000], [0.0000, 0.0000, 7.9827]], "species": ["Tb", "Tb", "As", "As", "Pd", "Pd", "O", "O"], "frac_coords": [[0.2500, 0.2500, 0.1294], [0.7500, 0.7500, 0.8706], [0.2500, 0.2500, 0.6766], [0.7500, 0.7500, 0.3234], [0.2500, 0.7500, 0.5000], [0.7500, 0.2500, 0.5000], [0.2500, 0.7500, 0.0000], [0.7500, 0.2500, 0.0000]]}

Record 4
{"formula": "TbAsPdO", "functional": "PBE", "state": "relaxed", "crystal_system": "orthorhombic", "rho_kg_m3": 8666, "e_above_lowest_polymorph_mev_per_atom": 408, "lattice": [[4.6652, 0.0000, 0.0000], [0.0000, 4.4293, 0.0000], [0.0000, 0.0000, 6.6071]], "species": ["Tb", "Tb", "As", "As", "Pd", "Pd", "O", "O"], "frac_coords": [[0.0000, 0.2067, 0.0000], [0.0000, 0.7933, 0.5000], [0.5000, 0.1549, 0.6952], [0.5000, 0.8451, 0.1952], [0.5000, 0.3478, 0.3484], [0.5000, 0.6522, 0.8484], [0.0000, 0.3211, 0.3426], [0.0000, 0.6789, 0.8426]]}

Record 5
{"formula": "TbAsPdO", "functional": "PBE", "state": "relaxed", "crystal_system": "monoclinic", "rho_kg_m3": 8866, "e_above_lowest_polymorph_mev_per_atom": 348, "lattice": [[5.7047, 0.0000, 0.0000], [0.0000, 3.2178, 0.0000], [-0.0112, 0.0000, 7.2701]], "species": ["Tb", "Tb", "As", "As", "Pd", "Pd", "O", "O"], "frac_coords": [[0.0000, 0.0000, 0.0000], [0.5002, 0.0000, 0.2476], [0.2477, 0.0000, 0.6228], [0.7467, 0.0000, 0.6245], [0.5004, 0.5000, 0.8295], [0.9983, 0.5000, 0.4192], [0.2536, 0.5000, 0.1197], [0.7536, 0.5000, 0.1277]]}

Record 6
{"formula": "TmAsPdO", "functional": "PBE", "state": "relaxed", "crystal_system": "tetragonal", "rho_kg_m3": 8248, "e_above_lowest_polymorph_mev_per_atom": 854, "lattice": [[5.6554, 0.0000, 0.0000], [0.0000, 5.6554, 0.0000], [0.0000, 0.0000, 4.6109]], "species": ["Tm", "Tm", "As", "As", "Pd", "Pd", "O", "O"], "frac_coords": [[0.2500, 0.7500, 0.0000], [0.7500, 0.2500, 0.0000], [0.2500, 0.2500, 0.0035], [0.7500, 0.7500, 0.9965], [0.2500, 0.2500, 0.5034], [0.7500, 0.7500, 0.4966], [0.2500, 0.7500, 0.5000], [0.7500, 0.2500, 0.5000]]}

Record 7
{"formula": "TmAsPdO", "functional": "PBE", "state": "relaxed", "crystal_system": "orthorhombic", "rho_kg_m3": 8270, "e_above_lowest_polymorph_mev_per_atom": 430, "lattice": [[3.4912, 0.0000, 0.0000], [0.0000, 7.8120, 0.0000], [0.0000, 0.0000, 5.3935]], "species": ["Tm", "Tm", "As", "As", "Pd", "Pd", "O", "O"], "frac_coords": [[0.0000, 0.2024, 0.0000], [0.0000, 0.7976, 0.5000], [0.0000, 0.4265, 0.5095], [0.0000, 0.5735, 0.0095], [0.5000, 0.2117, 0.5182], [0.5000, 0.7883, 0.0182], [0.5000, 0.0735, 0.0920], [0.5000, 0.9265, 0.5920]]}

Record 8
{"formula": "TmAsPdO", "functional": "PBE", "state": "relaxed", "crystal_system": "tetragonal", "rho_kg_m3": 9306, "e_above_lowest_polymorph_mev_per_atom": 0, "lattice": [[4.0553, 0.0000, 0.0000], [0.0000, 4.0553, 0.0000], [0.0000, 0.0000, 7.9481]], "species": ["Tm", "Tm", "As", "As", "Pd", "Pd", "O", "O"], "frac_coords": [[0.2500, 0.2500, 0.1252], [0.7500, 0.7500, 0.8748], [0.2500, 0.2500, 0.6826], [0.7500, 0.7500, 0.3174], [0.2500, 0.7500, 0.5000], [0.7500, 0.2500, 0.5000], [0.2500, 0.7500, 0.0000], [0.7500, 0.2500, 0.0000]]}

Record 9
{"formula": "TmAsPdO", "functional": "PBE", "state": "relaxed", "crystal_system": "orthorhombic", "rho_kg_m3": 9170, "e_above_lowest_polymorph_mev_per_atom": 371, "lattice": [[4.8861, 0.0000, 0.0000], [0.0000, 4.6636, 0.0000], [0.0000, 0.0000, 5.8214]], "species": ["Tm", "Tm", "As", "As", "Pd", "Pd", "O", "O"], "frac_coords": [[0.0000, 0.2243, 0.0000], [0.0000, 0.7757, 0.5000], [0.5000, 0.0940, 0.6973], [0.5000, 0.9060, 0.1973], [0.5000, 0.4099, 0.3443], [0.5000, 0.5901, 0.8443], [0.0000, 0.3564, 0.3499], [0.0000, 0.6436, 0.8499]]}

Record 10
{"formula": "YAsPdO", "functional": "PBE", "state": "relaxed", "crystal_system": "orthorhombic", "rho_kg_m3": 6074, "e_above_lowest_polymorph_mev_per_atom": 453, "lattice": [[3.5728, 0.0000, 0.0000], [0.0000, 7.8874, 0.0000], [0.0000, 0.0000, 5.5540]], "species": ["Y", "Y", "As", "As", "Pd", "Pd", "O", "O"], "frac_coords": [[0.0000, 0.2116, 0.0000], [0.0000, 0.7884, 0.5000], [0.0000, 0.4175, 0.4989], [0.0000, 0.5825, 0.9989], [0.5000, 0.2103, 0.5037], [0.5000, 0.7897, 0.0037], [0.5000, 0.0734, 0.0156], [0.5000, 0.9266, 0.5156]]}

Record 11
{"formula": "YAsPdO", "functional": "PBE", "state": "relaxed", "crystal_system": "tetragonal", "rho_kg_m3": 7049, "e_above_lowest_polymorph_mev_per_atom": 0, "lattice": [[4.1147, 0.0000, 0.0000], [0.0000, 4.1147, 0.0000], [0.0000, 0.0000, 7.9655]], "species": ["Y", "Y", "As", "As", "Pd", "Pd", "O", "O"], "frac_coords": [[0.2500, 0.2500, 0.1287], [0.7500, 0.7500, 0.8713], [0.2500, 0.2500, 0.6771], [0.7500, 0.7500, 0.3229], [0.2500, 0.7500, 0.5000], [0.7500, 0.2500, 0.5000], [0.2500, 0.7500, 0.0000], [0.7500, 0.2500, 0.0000]]}

Record 12
{"formula": "YAsPdO", "functional": "PBE", "state": "relaxed", "crystal_system": "tetragonal", "rho_kg_m3": 6206, "e_above_lowest_polymorph_mev_per_atom": 851, "lattice": [[5.7507, 0.0000, 0.0000], [0.0000, 5.7507, 0.0000], [0.0000, 0.0000, 4.6321]], "species": ["Y", "Y", "As", "As", "Pd", "Pd", "O", "O"], "frac_coords": [[0.2500, 0.7500, 0.0000], [0.7500, 0.2500, 0.0000], [0.2500, 0.2500, 0.0011], [0.7500, 0.7500, 0.9989], [0.2500, 0.2500, 0.5010], [0.7500, 0.7500, 0.4990], [0.2500, 0.7500, 0.5000], [0.7500, 0.2500, 0.5000]]}